1.
Entry from Alexandria: crystalline CaIn2Pb8 at its relaxed geometry (PBE).

Its formation energy from the elements is -0.053 eV/atom.

a = 5.191 Å, b = 8.720 Å, c = 9.134 Å
α = 118.51°, β = 106.51°, γ = 90.00°
Sites, in units of the cell vectors:
Pb 0.658 0.879 0.315
In 0.191 0.691 0.383
Pb 0.000 0.302 0.000
Pb 0.342 0.564 0.685
Ca 0.500 0.000 0.000
Pb 0.658 0.436 0.315
In 0.809 0.309 0.617
Pb 0.000 0.698 0.000
Pb 0.342 0.121 0.685
Pb 0.844 0.844 0.687
Pb 0.156 0.156 0.313

2.
Entry from Alexandria: crystalline Tb8ErCd6 at its relaxed geometry (PBE).

Its formation energy from the elements is -0.073 eV/atom.

a = 8.980 Å, b = 8.980 Å, c = 8.230 Å
α = 56.94°, β = 56.94°, γ = 60.00°
Each line ends with the local moment (μB).
Sites, in units of the cell vectors:
Cd 0.280 0.617 0.154  0.00
Tb 0.334 0.334 0.998  0.08
Cd 0.051 0.720 0.846  0.00
Cd 0.617 0.949 0.154  0.00
Tb 0.116 0.450 0.651  0.11
Cd 0.949 0.280 0.154  0.00
Tb 0.550 0.217 0.349  0.11
Er 0.000 0.000 0.000  0.05
Cd 0.720 0.383 0.846  0.00
Tb 0.217 0.884 0.349  0.11
Tb 0.666 0.666 0.002  0.08
Tb 0.884 0.550 0.349  0.11
Tb 0.783 0.116 0.651  0.11
Cd 0.383 0.051 0.846  0.00
Tb 0.450 0.783 0.651  0.11

3.
Entry from Alexandria: crystalline TbEr14Hf at its relaxed geometry (PBE).

Its formation energy from the elements is 0.048 eV/atom.

a = 6.969 Å, b = 6.969 Å, c = 9.822 Å
α = 90.00°, β = 90.00°, γ = 90.00°
Sites, in units of the cell vectors:
Er 0.375 0.625 0.500
Er 0.630 0.880 0.755
Er 0.630 0.370 0.245
Er 0.875 0.125 0.500
Hf 0.875 0.125 0.000
Er 0.630 0.880 0.245
Er 0.375 0.125 0.000
Er 0.120 0.370 0.245
Er 0.875 0.625 0.000
Er 0.120 0.880 0.245
Er 0.120 0.370 0.755
Er 0.630 0.370 0.755
Er 0.375 0.125 0.500
Er 0.875 0.625 0.500
Er 0.120 0.880 0.755
Tb 0.375 0.625 0.000

4.
Entry from Alexandria: crystalline Dy2ErGa at its relaxed geometry (PBE).

Its distance to the lowest polymorph of the same formula is 84 meV/atom. Its formation energy from the elements is -0.195 eV/atom.

a = 3.598 Å, b = 3.598 Å, c = 10.349 Å
α = 79.99°, β = 79.99°, γ = 60.00°
Each line ends with the local moment (μB).
Sites, in units of the cell vectors:
Dy 0.072 0.072 0.785  0.12
Dy 0.262 0.262 0.215  0.06
Er 0.500 0.500 0.499  0.35
Ga 0.666 0.666 0.001  0.00